1.
Entry from the Alexandria database: PmNd2HoP4 after structural relaxation (PBE-GGA).

Cell: 4.1172 7.1251 7.1244 Å, 109.46 90.00 90.00°
Last column: nearest neighbours and their distance in Å.
Element x y z (fractional)
Pm 0.5000 0.5000 0.0000  6 P 2.90
P 0.0000 0.7522 0.2450  1 Ho 2.87, 2 Pm 2.90, 3 Nd 2.92-2.95
P 0.5000 0.2435 0.2421  2 Ho 2.87, 1 Pm 2.90, 3 Nd 2.92-2.95
Nd 0.0000 0.5000 0.5000  6 P 2.95
Ho 0.0000 0.0000 0.0000  6 P 2.87
P 0.0000 0.2478 0.7550  1 Ho 2.87, 2 Pm 2.90, 3 Nd 2.92-2.95
P 0.5000 0.7565 0.7579  2 Ho 2.87, 1 Pm 2.90, 3 Nd 2.92-2.95
Nd 0.5000 0.0000 0.5000  6 P 2.92

Results
**M_tot**: 0.0 μB per formula unit
**Density**: 6087 kg/m³
**Formation enthalpy at 0 K**: -1.56 eV/atom



2.
Entry from the Alexandria database: Dy6Tm12Mg after structural relaxation (PBE-GGA).

Cell: 8.3742 8.3742 8.3742 Å, 88.59 88.59 88.59°
Last column: nearest neighbours and their distance in Å.
Element x y z (fractional)
Mg 0.0000 0.0000 0.0000  6 Dy 3.37, 6 Tm 3.46
Dy 0.2985 0.7392 0.9049  7 Tm 3.26-3.61, 1 Mg 3.37, 2 Dy 3.41
Tm 0.5639 0.2216 0.4610  6 Tm 3.24-3.56, 3 Dy 3.26-3.38
Dy 0.7015 0.2608 0.0951  7 Tm 3.26-3.61, 1 Mg 3.37, 2 Dy 3.41
Tm 0.7784 0.5390 0.4361  6 Tm 3.24-3.56, 3 Dy 3.26-3.38
Tm 0.5390 0.4361 0.7784  6 Tm 3.24-3.56, 3 Dy 3.26-3.38
Tm 0.1880 0.3629 0.0127  4 Dy 3.40-3.61, 4 Tm 3.41-3.55, 1 Mg 3.46
Tm 0.4361 0.7784 0.5390  6 Tm 3.24-3.56, 3 Dy 3.26-3.38
Tm 0.6371 0.9873 0.8120  4 Dy 3.40-3.61, 4 Tm 3.41-3.55, 1 Mg 3.46
Tm 0.4610 0.5639 0.2216  6 Tm 3.24-3.56, 3 Dy 3.26-3.38
Tm 0.3629 0.0127 0.1880  4 Dy 3.40-3.61, 4 Tm 3.41-3.55, 1 Mg 3.46
Tm 0.2216 0.4610 0.5639  6 Tm 3.24-3.56, 3 Dy 3.26-3.38
Tm 0.0127 0.1880 0.3629  4 Dy 3.40-3.61, 4 Tm 3.41-3.55, 1 Mg 3.46
Dy 0.9049 0.2985 0.7392  7 Tm 3.26-3.61, 1 Mg 3.37, 2 Dy 3.41
Dy 0.2608 0.0951 0.7015  7 Tm 3.26-3.61, 1 Mg 3.37, 2 Dy 3.41
Dy 0.0951 0.7015 0.2608  7 Tm 3.26-3.61, 1 Mg 3.37, 2 Dy 3.41
Tm 0.8120 0.6371 0.9873  4 Dy 3.40-3.61, 4 Tm 3.41-3.55, 1 Mg 3.46
Dy 0.7392 0.9049 0.2985  7 Tm 3.26-3.61, 1 Mg 3.37, 2 Dy 3.41
Tm 0.9873 0.8120 0.6371  4 Dy 3.40-3.61, 4 Tm 3.41-3.55, 1 Mg 3.46

Results
**M_tot**: 0.0 μB per formula unit
**Density**: 8565 kg/m³
**Formation enthalpy at 0 K**: 0.14 eV/atom
**Relative energy among the computed polymorphs**: 0.0 meV per atom



3.
Entry from the Alexandria database: Sb2Te after structural relaxation (PBE-GGA).

Cell: 7.0616 7.0616 6.2507 Å, 90.00 90.00 143.21°
Last column: nearest neighbours and their distance in Å.
Element x y z (fractional)
Te 0.0519 0.9481 0.5000  6 Sb 3.13-3.23
Sb 0.0516 0.9484 0.0000  2 Sb 3.03, 4 Te 3.13-3.23
Sb 0.3796 0.6204 0.5000  4 Sb 3.03-3.14, 2 Te 3.21
Te 0.7258 0.2742 0.0000  6 Sb 3.13-3.23
Sb 0.7262 0.2738 0.5000  2 Sb 3.03, 4 Te 3.13-3.23
Sb 0.3981 0.6019 0.0000  4 Sb 3.03-3.14, 2 Te 3.21

Results
**Formation energy from raw total energies**: 0.0002 eV per atom
**M_tot**: 0.0 μB per formula unit
**Density**: 6602 kg/m³
**Relative energy among the computed polymorphs**: 66.1 meV per atom



4.
Entry from the Alexandria database: KUTiSe3 after structural relaxation (PBE-GGA).

Cell: 4.0761 9.2446 9.8166 Å, 109.58 90.00 90.00°
Last column: nearest neighbours and their distance in Å.
Element x y z (fractional)
Se 0.2500 0.1131 0.8677  1 Ti 2.51
K 0.2500 0.2024 0.2330  7 Se 3.33-3.54
Ti 0.7500 0.9150 0.3954  4 Se 2.51-2.58
Se 0.7500 0.2077 0.5295  3 Ti 2.56-2.58
Se 0.2500 0.5451 0.8361  3 U 2.88
Se 0.2500 0.7923 0.4705  3 Ti 2.56-2.58
U 0.7500 0.3320 0.8531  6 Se 2.88-2.99
U 0.2500 0.6680 0.1469  6 Se 2.88-2.99
Ti 0.2500 0.0850 0.6046  4 Se 2.51-2.58
Se 0.7500 0.8869 0.1323  1 Ti 2.51
Se 0.7500 0.4549 0.1639  3 U 2.88
K 0.7500 0.7976 0.7670  7 Se 3.33-3.54

Results
**Formation energy from raw total energies**: -1.1142 eV per atom
**M_tot**: 3.8 μB per formula unit
**Density**: 5354 kg/m³



5.
Entry from the Alexandria database: K2AgAuO2 after structural relaxation (PBE-GGA).

Cell: 3.8573 6.0186 10.5304 Å, 90.00 90.00 90.00°
Last column: nearest neighbours and their distance in Å.
Element x y z (fractional)
O 0.0000 0.7064 0.9018  1 Au 2.05
K 0.5000 0.1416 0.2508  3 O 2.63-2.67
K 0.0000 0.3584 0.7508  3 O 2.63-2.67
Au 0.5000 0.5000 0.5000  2 O 2.05
Au 0.0000 0.0000 0.0000  2 O 2.05
O 0.0000 0.2936 0.0982  1 Au 2.05
O 0.5000 0.2064 0.5982  1 Au 2.05
K 0.0000 0.6416 0.2492  3 O 2.63-2.67
Ag 0.5000 0.5000 0.0000  4 O 2.52
K 0.5000 0.8584 0.7492  3 O 2.63-2.67
O 0.5000 0.7936 0.4018  1 Au 2.05
Ag 0.0000 0.0000 0.5000  4 O 2.52

Results
**Formation energy from raw total energies**: -0.6434 eV per atom
**M_tot**: 0.0 μB per formula unit
**Density**: 5638 kg/m³



6.
Entry from the Alexandria database: Rb2OsPtO6 after structural relaxation (PBE-GGA).

Cell: 5.5020 5.2978 7.6038 Å, 69.31 70.21 87.74°
Last column: nearest neighbours and their distance in Å.
Element x y z (fractional)
O 0.5368 0.6352 0.7414  1 Os 1.78
O 0.8473 0.9127 0.2774  1 Pt 1.87
O 0.2464 0.7268 0.0556  1 Os 1.84, 1 Pt 1.98
Os 0.5000 0.5000 0.0000  4 O 1.78-1.84
Rb 0.7268 0.2274 0.5462  7 O 2.89-3.17
O 0.7536 0.2732 0.9444  1 Os 1.84, 1 Pt 1.98
O 0.4632 0.3648 0.2586  1 Os 1.78
Rb 0.2732 0.7726 0.4538  7 O 2.89-3.17
Pt 0.0000 0.0000 0.0000  4 O 1.87-1.98
O 0.1527 0.0873 0.7226  1 Pt 1.87

Results
**Formation energy from raw total energies**: -0.9279 eV per atom
**M_tot**: 2.0 μB per formula unit
**Density**: 5575 kg/m³



7.
Entry from the Alexandria database: Tl2SiPt after structural relaxation (PBE-GGA).

Cell: 5.0149 5.0149 5.0149 Å, 121.95 121.95 86.66°
Last column: nearest neighbours and their distance in Å.
Element x y z (fractional)
Tl 0.2500 0.7500 0.5000  4 Tl 3.04, 4 Pt 3.04
Pt 0.5000 0.5000 0.0000  4 Si 3.04, 4 Tl 3.04
Si 0.7500 0.2500 0.5000  4 Tl 3.04, 4 Pt 3.04
Tl 0.0000 0.0000 0.0000  4 Si 3.04, 4 Tl 3.04

Results
**Formation energy from raw total energies**: 0.3999 eV per atom
**M_tot**: 0.0 μB per formula unit
**Density**: 12146 kg/m³



8.
Entry from the Alexandria database: PmErSnPd after structural relaxation (PBE-GGA).

Cell: 5.2052 5.2052 5.2052 Å, 60.00 60.00 60.00°
Last column: nearest neighbours and their distance in Å.
Element x y z (fractional)
Sn 0.2500 0.2500 0.2500  4 Er 3.19, 4 Pm 3.19
Pd 0.7500 0.7500 0.7500  4 Er 3.19, 4 Pm 3.19
Pm 0.5000 0.5000 0.5000  4 Sn 3.19, 4 Pd 3.19
Er 0.0000 0.0000 0.0000  4 Pd 3.19, 4 Sn 3.19

Results
**M_tot**: 0.0 μB per formula unit
**Density**: 8948 kg/m³
**Formation enthalpy at 0 K**: -0.71 eV/atom